Record 1
# La2BeCdN, relaxed, DFT PBE-GGA
# Symmetry = No. 123
# E_form (uncorrected) = -0.51 eV per atom
data_La2BeCdN
_space_group_name_H-M_alt 'P 1'
_space_group_IT_number 1
_cell_length_a 5.565
_cell_length_b 5.565
_cell_length_c 3.378
_cell_angle_alpha 90.00
_cell_angle_beta 90.00
_cell_angle_gamma 90.00
loop_
_space_group_symop_operation_xyz
'x,y,z'
loop_
_atom_site_label
_atom_site_type_symbol
_atom_site_fract_x
_atom_site_fract_y
_atom_site_fract_z
La1 La 0.000 0.500 0.000
La2 La 0.500 0.000 0.000
N1 N 0.000 0.000 0.000
Cd1 Cd 0.500 0.500 0.500
Be1 Be 0.000 0.000 0.500

---

Record 2
# CrCoCu2, relaxed, DFT PBE-GGA
# ΔH_f (0 K) = 0.2546 eV/atom
# Symmetry = No. 166
data_CrCoCu2
_space_group_name_H-M_alt 'P 1'
_space_group_IT_number 1
_cell_length_a 8.670
_cell_length_b 8.670
_cell_length_c 8.670
_cell_angle_alpha 16.62
_cell_angle_beta 16.62
_cell_angle_gamma 16.62
loop_
_space_group_symop_operation_xyz
'x,y,z'
loop_
_atom_site_label
_atom_site_type_symbol
_atom_site_fract_x
_atom_site_fract_y
_atom_site_fract_z
Cr1 Cr 0.750 0.750 0.750
Cu1 Cu 0.999 0.999 0.999
Co1 Co 0.250 0.250 0.250
Cu2 Cu 0.501 0.501 0.501

---

Record 3
# LaPrBiBr, relaxed, DFT PBE-GGA
# Symmetry = No. 216
# E_form (uncorrected) = -1.06 eV per atom
data_LaPrBiBr
_space_group_name_H-M_alt 'P 1'
_space_group_IT_number 1
_cell_length_a 5.539
_cell_length_b 5.539
_cell_length_c 5.539
_cell_angle_alpha 60.00
_cell_angle_beta 60.00
_cell_angle_gamma 60.00
loop_
_space_group_symop_operation_xyz
'x,y,z'
loop_
_atom_site_label
_atom_site_type_symbol
_atom_site_fract_x
_atom_site_fract_y
_atom_site_fract_z
Br1 Br 0.750 0.750 0.750
Bi1 Bi 0.250 0.250 0.250
La1 La 0.500 0.500 0.500
Pr1 Pr 0.000 0.000 0.000

---

Number 1: final energy -5.078 eV/atom. Number 2: final energy -5.976 eV/atom. Number 3: final energy -4.874 eV/atom.